Here is a relaxed structure of Re2AsOs from Alexandria. Energies are from GGA-PBE.

CIF file:
```
data_Re2AsOs
_chemical_formula_sum 'Re4 As2 Os2'
_cell_length_a 2.970
_cell_length_b 4.447
_cell_length_c 8.920
_cell_angle_alpha 90.00
_cell_angle_beta 90.00
_cell_angle_gamma 90.00
_space_group_name_H-M_alt 'I m m m'
_space_group_IT_number 71
_space_group_name_Hall '-I 2 2'
loop_
_atom_site_label
_atom_site_type_symbol
_atom_site_fract_x
_atom_site_fract_y
_atom_site_fract_z
Re1 Re 0.000 0.000 0.223
As1 As 0.000 0.500 0.500
Os1 Os 0.000 0.500 0.000
```

**VASP energy**: -79.00 eV for the cell shown
**Total magnetic moment**: 0.0 μB/f.u.
**E_form**: 123 kJ/mol of formula units